The following is a PBE-GGA calculation of a relaxed HfSnIr2 crystal, from the Open Quantum Materials Database.

abc: 4.6382 4.6382 4.6382
angles: 60.00 60.00 60.00
Last column: nearest neighbours and their distance in Å.
Atoms (fractional coordinates):
Ir 0.0000 0.0000 0.0000  4 Hf 2.84, 4 Ir 2.84
Hf 0.2500 0.2500 0.2500  4 Sn 2.84, 4 Ir 2.84
Ir 0.7500 0.7500 0.7500  4 Sn 2.84, 4 Ir 2.84
Sn 0.5000 0.5000 0.5000  4 Hf 2.84, 4 Ir 2.84

E   -8.0244 eV/atom



The following is a PBE-GGA calculation of a relaxed SrHfIr crystal, from the Open Quantum Materials Database.

abc: 4.7120 4.7120 4.7120
angles: 60.00 60.00 60.00
Last column: nearest neighbours and their distance in Å.
Atoms (fractional coordinates):
Hf 0.2500 0.2500 0.2500  4 Sr 2.89
Ir 0.7500 0.7500 0.7500  4 Sr 2.89
Sr 0.0000 0.0000 0.0000  4 Ir 2.89, 4 Hf 2.89

Energy relative to the lowest polymorph listed for this composition   1291 meV per atom